No. 1
Computed, not measured: an optimized crystal structure of Nd3CCl3 at the PBE-GGA level of DFT.

Total DFT energy (no corrections), Ry/atom: -0.4166
Total moment, μB/f.u.: 0.00
E_form (uncorrected), eV per atom: -1.52

Unit cell a=11.1493 b=11.1493 c=11.1493 alpha=90.00 beta=90.00 gamma=90.00
Space group I4_132 (No. 214)
Unique sites:
Nd 0.1083 0.3583 0.1250 x24
C 0.1250 0.1250 0.1250 x8
Cl 0.1190 0.1310 0.6250 x24

---

No. 2
Computed, not measured: an optimized crystal structure of Ba2Li12Hg7 at the PBE-GGA level of DFT.

E_form, eV per formula unit: -6.6
Total DFT energy (no corrections), Ry/atom: -0.1242
Total moment, μB/f.u.: 0.00

Unit cell a=10.8436 b=10.8436 c=4.5733 alpha=90.00 beta=90.00 gamma=120.00
Space group P-6 (No. 174)
Unique sites:
Ba 0.0000 0.0000 0.0000 x1
Ba 0.3333 0.6667 0.5000 x1
Li 0.1585 0.3802 0.0000 x3
Li 0.2918 0.2912 0.5000 x3
Li 0.3868 0.1721 0.0000 x3
Li 0.5524 0.1509 0.5000 x3
Hg 0.0011 0.2547 0.5000 x3
Hg 0.0214 0.5476 0.0000 x3
Hg 0.6667 0.3333 0.0000 x1

---

No. 3
Computed, not measured: an optimized crystal structure of RbRuWS2 at the PBE-GGA level of DFT.

Total DFT energy (no corrections), Ry/atom: -0.4026
Total moment, μB/f.u.: 3.85
E_form (uncorrected), eV per atom: 0.81

Unit cell a=4.9445 b=4.9445 c=4.8283 alpha=90.00 beta=90.00 gamma=90.00
Space group P4/mmm (No. 123)
Unique sites:
Rb 0.0000 0.0000 0.0000 x1
Ru 0.5000 0.5000 0.5000 x1
W 0.5000 0.5000 0.0000 x1
S 0.0000 0.5000 0.5000 x2

---

No. 4
Computed, not measured: an optimized crystal structure of Nb2GaNiRu at the PBE-GGA level of DFT.

E_form, eV per formula unit: 4.0
Total DFT energy (no corrections), Ry/atom: -0.5029
Total moment, μB/f.u.: 0.04

Unit cell a=4.5398 b=4.5398 c=4.5056 alpha=90.00 beta=90.00 gamma=90.00
Space group P4/mmm (No. 123)
Unique sites:
Nb 0.0000 0.5000 0.0000 x2
Ga 0.0000 0.0000 0.5000 x1
Ni 0.5000 0.5000 0.0000 x1
Ru 0.5000 0.5000 0.5000 x1

---

No. 5
Computed, not measured: an optimized crystal structure of Rb2SbI4 at the PBE-GGA level of DFT.

Total DFT energy (no corrections), Ry/atom: -0.1947
Total moment, μB/f.u.: 1.00
E_form (uncorrected), eV per atom: -0.90

Unit cell a=8.6929 b=8.6929 c=9.5866 alpha=90.00 beta=90.00 gamma=90.00
Space group I-42m (No. 121)
Unique sites:
Rb 0.0000 0.5000 0.2500 x4
Sb 0.0000 0.0000 0.0000 x2
I 0.2471 0.2471 0.0009 x8

---

No. 6
Computed, not measured: an optimized crystal structure of ZnFeHg3 at the PBE-GGA level of DFT.

E_form, eV per formula unit: 2.6
Total DFT energy (no corrections), Ry/atom: -0.1180
Total moment, μB/f.u.: 2.49

Unit cell a=5.1754 b=5.1754 c=5.1754 alpha=90.00 beta=90.00 gamma=90.00
Space group Pm-3m (No. 221)
Unique sites:
Zn 0.0000 0.0000 0.0000 x1
Fe 0.5000 0.5000 0.5000 x1
Hg 0.0000 0.5000 0.5000 x3

---

No. 7
Computed, not measured: an optimized crystal structure of ZrNi2Pb at the PBE-GGA level of DFT.

E_form, eV per formula unit: -0.8
Total DFT energy (no corrections), Ry/atom: -0.4521
Total moment, μB/f.u.: 0.00

Unit cell a=3.3745 b=3.3745 c=6.2284 alpha=90.00 beta=90.00 gamma=90.00
Space group P4/mmm (No. 123)
Unique sites:
Zr 0.0000 0.0000 0.0000 x1
Ni 0.5000 0.5000 0.2079 x2
Pb 0.0000 0.0000 0.5000 x1

---

No. 8
Computed, not measured: an optimized crystal structure of SrMgSbH at the PBE-GGA level of DFT.

Total DFT energy (no corrections), Ry/atom: -0.2462
Total moment, μB/f.u.: 0.00

Unit cell a=4.6870 b=4.6870 c=4.9811 alpha=90.00 beta=90.00 gamma=120.00
Space group P3m1 (No. 156)
Unique sites:
Sr 0.0000 0.0000 0.0000 x1
Mg 0.6667 0.3333 0.5546 x1
Sb 0.3333 0.6667 0.4441 x1
H 0.6667 0.3333 0.9408 x1

---

No. 9
Computed, not measured: an optimized crystal structure of GdYCuPd at the PBE-GGA level of DFT.

E_form, eV per formula unit: -2.1
Total DFT energy (no corrections), Ry/atom: -0.5876
Total moment, μB/f.u.: 7.15

Unit cell a=7.0398 b=7.0398 c=7.0398 alpha=90.00 beta=90.00 gamma=90.00
Space group F-43m (No. 216)
Unique sites:
Gd 0.0000 0.0000 0.0000 x4
Y 0.0000 0.0000 0.5000 x4
Cu 0.2500 0.2500 0.7500 x4
Pd 0.2500 0.2500 0.2500 x4

---

No. 10
Computed, not measured: an optimized crystal structure of NdBeSiPt6 at the PBE-GGA level of DFT.

Total DFT energy (no corrections), Ry/atom: -0.4503
Total moment, μB/f.u.: 0.00
E_form (uncorrected), eV per atom: -0.55

Unit cell a=7.8091 b=7.8285 c=11.1134 alpha=90.00 beta=90.00 gamma=90.00
Space group Imma (No. 74)
Unique sites:
Nd 0.0000 0.2500 0.1022 x4
Be 0.2500 0.2500 0.7500 x4
Si 0.0000 0.0000 0.5000 x4
Pt 0.0000 0.2500 0.3801 x4
Pt 0.0000 0.2500 0.8482 x4
Pt 0.2386 0.0173 0.6284 x16

---

No. 11
Computed, not measured: an optimized crystal structure of Tb6Pd2Rh at the PBE-GGA level of DFT.

E_form, eV per formula unit: -5.2
Total DFT energy (no corrections), Ry/atom: -0.4142
Total moment, μB/f.u.: 0.00

Unit cell a=6.5433 b=7.3563 c=11.8713 alpha=90.00 beta=121.70 gamma=90.00
Space group P2_1/c (No. 14)
Unique sites:
Tb 0.0925 0.1848 0.4320 x4
Tb 0.2580 0.6744 0.4305 x4
Tb 0.4000 0.0403 0.2467 x4
Pd 0.1785 0.1157 0.7387 x4
Rh 0.5000 0.0000 0.5000 x2

---

No. 12
Computed, not measured: an optimized crystal structure of KSnB at the PBE-GGA level of DFT.

E_form, eV per formula unit: 1.1
Total DFT energy (no corrections), Ry/atom: -0.2611
Total moment, μB/f.u.: 0.00

Unit cell a=11.2394 b=11.2394 c=7.0744 alpha=90.00 beta=90.00 gamma=90.00
Space group I4/mmm (No. 139)
Unique sites:
K 0.0000 0.2851 0.0000 x8
Sn 0.0000 0.2610 0.5000 x8
B 0.0761 0.0761 0.5000 x8

---

No. 13
Computed, not measured: an optimized crystal structure of HoMgInAg at the PBE-GGA level of DFT.

E_form, eV per formula unit: -1.4
Total DFT energy (no corrections), Ry/atom: -0.2413
Total moment, μB/f.u.: 0.00

Unit cell a=7.1176 b=7.1176 c=7.1176 alpha=90.00 beta=90.00 gamma=90.00
Space group F-43m (No. 216)
Unique sites:
Ho 0.0000 0.0000 0.0000 x4
Mg 0.0000 0.0000 0.5000 x4
In 0.2500 0.2500 0.2500 x4
Ag 0.2500 0.2500 0.7500 x4

---

No. 14
Computed, not measured: an optimized crystal structure of HoSc5S6 at the PBE-GGA level of DFT.

Total DFT energy (no corrections), Ry/atom: -0.5120
Total moment, μB/f.u.: 0.00
E_form (uncorrected), eV per atom: -1.88

Unit cell a=6.4383 b=11.1929 c=6.4555 alpha=90.00 beta=109.46 gamma=90.00
Space group C2/m (No. 12)
Unique sites:
Ho 0.0000 0.0000 0.0000 x2
Sc 0.0000 0.1630 0.5000 x4
Sc 0.0000 0.3338 0.0000 x4
Sc 0.0000 0.5000 0.5000 x2
S 0.2427 0.5000 0.2532 x4
S 0.2439 0.3291 0.7445 x8

---

No. 15
Computed, not measured: an optimized crystal structure of HoLuInGa at the PBE-GGA level of DFT.

E_form, eV per formula unit: -1.9
Total DFT energy (no corrections), Ry/atom: -0.3076
Total moment, μB/f.u.: 0.00

Unit cell a=7.2654 b=7.2654 c=7.2654 alpha=90.00 beta=90.00 gamma=90.00
Space group F-43m (No. 216)
Unique sites:
Ho 0.0000 0.0000 0.0000 x4
Lu 0.0000 0.0000 0.5000 x4
In 0.2500 0.2500 0.7500 x4
Ga 0.2500 0.2500 0.2500 x4

---

No. 16
Computed, not measured: an optimized crystal structure of YRu2Pt at the PBE-GGA level of DFT.

E_form, eV per formula unit: -0.4
Total DFT energy (no corrections), Ry/atom: -0.5787
Total moment, μB/f.u.: 0.00

Unit cell a=9.4559 b=2.9756 c=5.0010 alpha=90.00 beta=101.48 gamma=90.00
Space group Cm (No. 8)
Unique sites:
Y 0.0000 0.0000 0.0000 x2
Ru 0.2601 0.5000 0.3161 x2
Ru 0.4946 0.0000 0.4770 x2
Pt 0.2418 0.0000 0.7492 x2

---

No. 17
Computed, not measured: an optimized crystal structure of K2BaSi2S6 at the PBE-GGA level of DFT.

Total DFT energy (no corrections), Ry/atom: -0.3428
Total moment, μB/f.u.: 0.00
E_form (uncorrected), eV per atom: -1.05

Unit cell a=7.1857 b=7.1857 c=25.3158 alpha=90.00 beta=90.00 gamma=120.00
Space group R-3m (No. 166, hexagonal axes)
Unique sites:
K 0.0000 0.0000 0.2054 x6
Ba 0.0000 0.0000 0.0000 x3
Si 0.0000 0.0000 0.4234 x6
S 0.0057 0.5029 0.2409 x18

---

No. 18
Computed, not measured: an optimized crystal structure of TiCuO3 at the PBE-GGA level of DFT.

Total DFT energy (no corrections), Ry/atom: -0.5202
Total moment, μB/f.u.: 1.01
E_form (uncorrected), eV per atom: -1.70

Unit cell a=5.4276 b=5.4276 c=7.1687 alpha=90.00 beta=90.00 gamma=120.00
Space group R3m (No. 160, hexagonal axes)
Unique sites:
Ti 0.0000 0.0000 0.0000 x3
Cu 0.0000 0.0000 0.3834 x3
O 0.1714 0.3429 0.8705 x9

---

No. 19
Computed, not measured: an optimized crystal structure of TbNd3Te4 at the PBE-GGA level of DFT.

Total DFT energy (no corrections), Ry/atom: -0.3905
Total moment, μB/f.u.: 0.00
E_form (uncorrected), eV per atom: -1.38

Unit cell a=4.3625 b=4.3625 c=30.6467 alpha=90.00 beta=90.00 gamma=120.00
Space group P6_3/mmc (No. 194)
Unique sites:
Tb 0.3333 0.6667 0.2500 x2
Nd 0.0000 0.0000 0.0000 x2
Nd 0.3333 0.6667 0.6252 x4
Te 0.0000 0.0000 0.1891 x4
Te 0.3333 0.6667 0.0630 x4

---

No. 20
Computed, not measured: an optimized crystal structure of Ta4CdPt5 at the PBE-GGA level of DFT.

E_form, eV per formula unit: -6.2
Total DFT energy (no corrections), Ry/atom: -0.6228
Total moment, μB/f.u.: 0.00

Unit cell a=2.8522 b=2.8522 c=20.5059 alpha=90.00 beta=90.00 gamma=90.00
Space group P4/mmm (No. 123)
Unique sites:
Ta 0.0000 0.0000 0.0996 x2
Ta 0.0000 0.0000 0.2992 x2
Cd 0.0000 0.0000 0.5000 x1
Pt 0.5000 0.5000 0.0000 x1
Pt 0.5000 0.5000 0.1991 x2
Pt 0.5000 0.5000 0.3930 x2